Record 1
## PaSnO4 (PBE)

Data for a relaxed PaSnO4 crystal.

a = 4.2213 Å, b = 7.3929 Å, c = 7.3019 Å
α = 100.64°, β = 90.00°, γ = 106.59°
With the nearest neighbours (Å) after each atom.
Element x y z (fractional)
O: 0.2557 0.5115 0.6951  2 Sn 2.23, 1 Pa 2.37
O: 0.6005 0.2009 0.7172  2 Pa 2.11
O: 0.1174 0.2347 0.0079  1 Sn 2.04, 1 Pa 2.06
O: 0.3995 0.7991 0.2828  2 Pa 2.11
O: 0.9301 0.8602 0.6010  1 Sn 2.11, 2 Pa 2.28-2.31
O: 0.7443 0.4885 0.3049  2 Sn 2.23, 1 Pa 2.37
O: 0.8826 0.7653 0.9921  1 Sn 2.04, 1 Pa 2.06
O: 0.0699 0.1398 0.3990  1 Sn 2.11, 2 Pa 2.28-2.31
Sn: 0.8071 0.6141 0.7240  4 O 2.04-2.23
Sn: 0.1929 0.3859 0.2760  4 O 2.04-2.23
Pa: 0.9086 0.8173 0.2797  5 O 2.06-2.31
Pa: 0.0914 0.1827 0.7203  5 O 2.06-2.31

Results
Calculated total energy (eV/atom): -8.105
Space group: C2/m (12)
Formation energy without anion corrections (meV per atom): -2549
Density of states at the Fermi level (states/eV/cell): 1.0

Record 2
## SrEuAs (PBE)

Data for a relaxed SrEuAs crystal.

a = 4.4681 Å, b = 4.4681 Å, c = 7.2988 Å
α = 90.00°, β = 90.00°, γ = 120.00°
With the nearest neighbours (Å) after each atom.
Element x y z (fractional)
Eu: 0.3333 0.6667 0.5518  3 As 3.00
As: 0.6667 0.3333 0.3413  3 Eu 3.00, 3 Sr 3.10
Sr: 0.0000 0.0000 0.1069  3 As 3.10

Results
Energy relative to the elements (kcal/mol of atoms): -19.44
ΔE to the lowest computed polymorph (eV/atom): 0.030
Calculated total energy (eV/atom): -6.378
Space group: P3m1 (156)
Density of states at the Fermi level (states/eV/cell): 14.5

Record 3
## NbSbOs3 (PBE)

Data for a relaxed NbSbOs3 crystal.

a = 4.7288 Å, b = 4.7288 Å, c = 4.7288 Å
α = 90.00°, β = 90.00°, γ = 90.00°
With the nearest neighbours (Å) after each atom.
Element x y z (fractional)
Os: 0.0000 0.0000 0.5000  2 Sb 2.36
Os: 0.5000 0.0000 0.0000  2 Sb 2.36
Os: 0.0000 0.5000 0.0000  2 Sb 2.36
Sb: 0.0000 0.0000 0.0000  6 Os 2.36
Nb: 0.5000 0.5000 0.5000  12 Os 3.34

Results
ΔE to the lowest computed polymorph (eV/atom): 0.256
Calculated total energy (eV/atom): -7.250
Space group: Pm-3m (221)
Formation energy without anion corrections (meV per atom): 2326
Density of states at the Fermi level (states/eV/cell): 8.2

Record 4
## CsK3Sb (PBE)

Data for a relaxed CsK3Sb crystal.

a = 6.9203 Å, b = 6.9203 Å, c = 6.9203 Å
α = 90.00°, β = 90.00°, γ = 90.00°
With the nearest neighbours (Å) after each atom.
Element x y z (fractional)
K: 0.5000 0.0000 0.0000  2 Sb 3.46
K: 0.0000 0.5000 0.0000  2 Sb 3.46
K: 0.0000 0.0000 0.5000  2 Sb 3.46
Sb: 0.0000 0.0000 0.0000  6 K 3.46
Cs: 0.5000 0.5000 0.5000  12 K 4.89

Results
ΔE to the lowest computed polymorph (eV/atom): 0.040
Calculated total energy (eV/atom): -1.864
Space group: Pm-3m (221)
Formation energy without anion corrections (meV per atom): -211
Density of states at the Fermi level (states/eV/cell): 5.3

Record 5
## CaLa8Y4 (PBE)

Data for a relaxed CaLa8Y4 crystal.

a = 7.3134 Å, b = 7.3136 Å, c = 11.0053 Å
α = 90.00°, β = 109.40°, γ = 120.00°
With the nearest neighbours (Å) after each atom.
Element x y z (fractional)
La: 0.0396 0.2431 0.2827  1 Ca 3.21, 2 La 3.27, 1 Y 3.44
La: 0.9604 0.2036 0.7173  1 Ca 3.21, 2 La 3.27, 1 Y 3.44
La: 0.5137 0.7569 0.7173  1 Ca 3.21, 2 La 3.27, 1 Y 3.44
La: 0.9604 0.7569 0.7173  1 Ca 3.21, 2 La 3.27, 1 Y 3.44
La: 0.4863 0.2431 0.2827  1 Ca 3.21, 2 La 3.27, 1 Y 3.44
La: 0.5768 0.7884 0.3653  9 La 3.76-4.04
La: 0.0396 0.7964 0.2827  1 Ca 3.21, 2 La 3.27, 1 Y 3.44
La: 0.4232 0.2116 0.6347  9 La 3.76-4.04
Ca: 0.0000 0.5000 0.5000  6 La 3.21
Y: 0.0000 0.0000 0.0000  6 La 3.44, 6 Y 3.66
Y: 0.0000 0.5000 0.0000  4 La 3.64, 6 Y 3.66
Y: 0.5000 0.0000 0.0000  4 La 3.64, 6 Y 3.66
Y: 0.5000 0.5000 0.0000  4 La 3.64, 6 Y 3.66

Results
Energy relative to the elements (kcal/mol of atoms): 4.54
Calculated total energy (eV/atom): -4.978
Space group: R-3m (166)
Density of states at the Fermi level (states/eV/cell): 19.7

Record 6
## K2BaSr (PBE)

Data for a relaxed K2BaSr crystal.

a = 4.4399 Å, b = 6.4275 Å, c = 9.2056 Å
α = 90.00°, β = 90.00°, γ = 90.00°
With the nearest neighbours (Å) after each atom.
Element x y z (fractional)
K: 0.5000 0.5000 0.2538  2 Ba 4.43-4.78, 6 K 4.44-4.55, 4 Sr 4.57
K: 0.0000 0.0000 0.9994  6 K 4.44-4.55, 2 Sr 4.48-4.72, 4 Ba 4.60
Ba: 0.5000 0.5000 0.7345  4 Sr 4.41, 6 K 4.43-4.78, 2 Ba 4.44
Sr: 0.0000 0.0000 0.5123  4 Ba 4.41, 2 Sr 4.44, 6 K 4.48-4.72

Results
Energy relative to the elements (kcal/mol of atoms): 2.17
Calculated total energy (eV/atom): -1.356
Space group: Pmm2 (25)
Density of states at the Fermi level (states/eV/cell): 4.9

Record 7
## Zr2Ti3Si3 (PBE)

Data for a relaxed Zr2Ti3Si3 crystal.

a = 7.6980 Å, b = 7.6980 Å, c = 5.4559 Å
α = 90.00°, β = 90.00°, γ = 120.00°
With the nearest neighbours (Å) after each atom.
Element x y z (fractional)
Zr: 0.3333 0.6667 0.0000  2 Zr 2.73, 6 Si 2.77
Zr: 0.6667 0.3333 0.5000  2 Zr 2.73, 6 Si 2.77
Zr: 0.3333 0.6667 0.5000  2 Zr 2.73, 6 Si 2.77
Zr: 0.6667 0.3333 0.0000  2 Zr 2.73, 6 Si 2.77
Ti: 0.2568 0.2568 0.2500  3 Si 2.57-2.82
Ti: 0.0000 0.2568 0.7500  3 Si 2.57-2.82
Ti: 0.7432 0.7432 0.7500  3 Si 2.57-2.82
Ti: 0.0000 0.7432 0.2500  3 Si 2.57-2.82
Ti: 0.2568 0.0000 0.7500  3 Si 2.57-2.82
Ti: 0.7432 0.0000 0.2500  3 Si 2.57-2.82
Si: 0.0000 0.6227 0.7500  3 Ti 2.57-2.82, 4 Zr 2.77
Si: 0.0000 0.3773 0.2500  3 Ti 2.57-2.82, 4 Zr 2.77
Si: 0.6227 0.6227 0.2500  3 Ti 2.57-2.82, 4 Zr 2.77
Si: 0.6227 0.0000 0.7500  3 Ti 2.57-2.82, 4 Zr 2.77
Si: 0.3773 0.3773 0.7500  3 Ti 2.57-2.82, 4 Zr 2.77
Si: 0.3773 0.0000 0.2500  3 Ti 2.57-2.82, 4 Zr 2.77

Results
Calculated total energy (eV/atom): -7.767
Space group: P6_3/mcm (193)
Formation energy without anion corrections (meV per atom): -636
Density of states at the Fermi level (states/eV/cell): 7.2

Record 8
## ZnCdP2O6 (PBE)

Data for a relaxed ZnCdP2O6 crystal.

a = 5.1201 Å, b = 5.1201 Å, c = 6.2899 Å
α = 65.98°, β = 65.98°, γ = 60.00°
With the nearest neighbours (Å) after each atom.
Element x y z (fractional)
Cd: 0.0000 0.0000 0.0000  6 O 2.41
O: 0.4700 0.7472 0.7240  1 P 1.56
O: 0.7472 0.0587 0.7240  1 P 1.56
O: 0.5300 0.2528 0.2760  1 P 1.56
O: 0.0587 0.4700 0.7240  1 P 1.56
O: 0.9413 0.5300 0.2760  1 P 1.56
O: 0.2528 0.9413 0.2760  1 P 1.56
P: 0.2653 0.2653 0.2040  3 O 1.56
P: 0.7347 0.7347 0.7960  3 O 1.56
Zn: 0.5000 0.5000 0.5000  6 O 2.17

Results
Calculated total energy (eV/atom): -5.752
Space group: R-3 (148)
Formation energy without anion corrections (meV per atom): -1476
Density of states at the Fermi level (states/eV/cell): 2.5